Below is a relaxed TbCeHo2 crystal, with properties calculated at the PBE level.

The structure belongs to space group R-3m (No. 166, hexagonal axes); the cell edges are 3.3983, 3.3983 and 36.8083 Å and the angles 90.00°, 90.00° and 120.00°. The asymmetric unit holds Tb at (0.0000, 0.0000, 0.0000), Ce at (0.0000, 0.0000, 0.5000) and Ho at (0.0000, 0.0000, 0.4115).

For the final energy, the calculation gives -4.75 eV per atom. The energy of formation from the pure elements comes out at 0.18 eV/atom.